NbAlGe2Bi: relaxed, GGA-PBE.

Calculated values
- Formation enthalpy at 0 K: 1515 meV/atom

Lattice parameters (Å, degrees): 5.438 5.438 5.442 90.00 90.00 90.00
Fractional positions:
Nb 0.000 0.000 0.000
Al 0.500 0.500 0.000
Ge 0.000 0.500 0.500
Ge 0.500 0.000 0.500
Bi 0.000 0.000 0.500

***

La6Ag5Au: relaxed, GGA-PBE.

Calculated values
- Formation enthalpy at 0 K: -348 meV/atom

Lattice parameters (Å, degrees): 8.575 8.575 7.556 90.00 90.00 143.11
Fractional positions:
La 0.000 0.000 0.244
La 0.000 0.000 0.756
La 0.336 0.664 0.248
La 0.336 0.664 0.752
La 0.664 0.336 0.248
La 0.664 0.336 0.752
Ag 0.167 0.833 0.500
Ag 0.173 0.827 0.000
Ag 0.500 0.500 0.500
Ag 0.827 0.173 0.000
Ag 0.833 0.167 0.500
Au 0.500 0.500 0.000

***

LiTa2Pb: relaxed, GGA-PBE.

Calculated values
- Formation enthalpy at 0 K: 234 meV/atom

Lattice parameters (Å, degrees): 3.474 3.554 6.312 90.00 90.00 90.00
Fractional positions:
Li 0.000 0.000 0.000
Ta 0.000 0.000 0.539
Ta 0.500 0.500 0.728
Pb 0.500 0.500 0.230

***

KSc3Ru: relaxed, GGA-PBE.

Calculated values
- Formation enthalpy at 0 K: 1653 meV/atom

Lattice parameters (Å, degrees): 4.687 4.687 4.687 90.00 90.00 90.00
Fractional positions:
K 0.000 0.000 0.000
Sc 0.000 0.000 0.500
Sc 0.000 0.500 0.000
Sc 0.500 0.000 0.000
Ru 0.500 0.500 0.500

***

BaP2IrO: relaxed, GGA-PBE.

Calculated values
- Formation energy without anion corrections: -344 meV per atom

Lattice parameters (Å, degrees): 4.489 4.489 5.156 90.00 90.00 90.00
Fractional positions:
Ba 0.000 0.000 0.000
P 0.000 0.500 0.500
P 0.500 0.000 0.500
Ir 0.500 0.500 0.500
O 0.500 0.500 0.000

***

MoIr2: relaxed, GGA-PBE.

Calculated values
- Formation enthalpy at 0 K: 113 meV/atom

Lattice parameters (Å, degrees): 5.131 5.131 8.302 90.00 90.00 120.00
Fractional positions:
Mo 0.333 0.667 0.089
Mo 0.333 0.667 0.411
Mo 0.667 0.333 0.589
Mo 0.667 0.333 0.911
Ir 0.000 0.000 0.000
Ir 0.000 0.000 0.500
Ir 0.171 0.341 0.750
Ir 0.171 0.829 0.750
Ir 0.341 0.171 0.250
Ir 0.659 0.829 0.750
Ir 0.829 0.171 0.250
Ir 0.829 0.659 0.250

***

ZrInRe: relaxed, GGA-PBE.

Calculated values
- Formation enthalpy at 0 K: 177 meV/atom

Lattice parameters (Å, degrees): 3.449 4.913 13.868 90.00 90.00 90.00
Fractional positions:
Zr 0.000 0.000 0.000
Zr 0.000 0.500 0.500
Zr 0.500 0.000 0.500
Zr 0.500 0.500 0.000
In 0.000 0.000 0.313
In 0.000 0.500 0.813
In 0.500 0.000 0.813
In 0.500 0.500 0.313
Re 0.000 0.000 0.650
Re 0.000 0.500 0.150
Re 0.500 0.000 0.150
Re 0.500 0.500 0.650

***

Mn3CoSn: relaxed, GGA-PBE.

Calculated values
- Formation enthalpy at 0 K: 1604 meV/atom

Lattice parameters (Å, degrees): 5.088 5.088 5.088 90.00 90.00 90.00
Fractional positions:
Mn 0.000 0.000 0.500
Mn 0.000 0.500 0.000
Mn 0.500 0.000 0.000
Co 0.500 0.500 0.500
Sn 0.000 0.000 0.000

***

AsIr2Pb: relaxed, GGA-PBE.

Calculated values
- Formation enthalpy at 0 K: 538 meV/atom

Lattice parameters (Å, degrees): 6.566 6.566 6.566 90.00 90.00 90.00
Fractional positions:
As 0.000 0.000 0.000
As 0.000 0.500 0.500
As 0.500 0.000 0.500
As 0.500 0.500 0.000
Ir 0.250 0.250 0.250
Ir 0.250 0.250 0.750
Ir 0.250 0.750 0.250
Ir 0.250 0.750 0.750
Ir 0.750 0.250 0.250
Ir 0.750 0.250 0.750
Ir 0.750 0.750 0.250
Ir 0.750 0.750 0.750
Pb 0.000 0.000 0.500
Pb 0.000 0.500 0.000
Pb 0.500 0.000 0.000
Pb 0.500 0.500 0.500

***

CdPWCl2: relaxed, GGA-PBE.

Calculated values
- Formation energy without anion corrections: 150 meV per atom

Lattice parameters (Å, degrees): 4.859 4.859 4.799 90.00 90.00 90.00
Fractional positions:
Cd 0.000 0.000 0.000
P 0.500 0.500 0.000
W 0.500 0.500 0.500
Cl 0.000 0.500 0.500
Cl 0.500 0.000 0.500

***

no.,calculated total energy (eV for the cell shown)
1,-19.4
2,-51.3
3,-28.4
4,-21.1
5,-28.3
6,-112.9
7,-92.8
8,-30.6
9,-95.7
10,-22.2